(1)
# SrMgSi2, relaxed, DFT PBE
# ΔE_f (raw) = -29 kJ/mol of formula units
# Crystal system = orthorhombic
# Energy = -14.4 eV/f.u.
data_SrMgSi2
_chemical_formula_sum 'Sr2 Mg2 Si4'
_cell_length_a 4.153
_cell_length_b 6.313
_cell_length_c 8.165
_cell_angle_alpha 90.00
_cell_angle_beta 90.00
_cell_angle_gamma 90.00
_space_group_name_H-M_alt 'A m m 2'
_space_group_IT_number 38
loop_
_space_group_symop_operation_xyz
'x,y,z'
'-x,-y,z'
'-x,y,z'
'x,-y,z'
'x,y+1/2,z+1/2'
'-x,-y+1/2,z+1/2'
'-x,y+1/2,z+1/2'
'x,-y+1/2,z+1/2'
loop_
_atom_site_label
_atom_site_type_symbol
_atom_site_fract_x
_atom_site_fract_y
_atom_site_fract_z
Sr1 Sr 0.000 0.000 0.000
Mg1 Mg 0.500 0.000 0.593
Si1 Si 0.500 0.178 0.296



(2)
# LaPmNd2, relaxed, DFT PBE
# Polymorph energy (0 for the lowest one) = 1 meV/atom
# Crystal system = tetragonal
# Energy of formation from the pure elements = 0.0150 eV/atom
# Energy = -19.2 eV/f.u.
data_LaPmNd2
_chemical_formula_sum 'La1 Pm1 Nd2'
_cell_length_a 3.693
_cell_length_b 3.693
_cell_length_c 10.443
_cell_angle_alpha 90.00
_cell_angle_beta 90.00
_cell_angle_gamma 90.00
_space_group_name_H-M_alt 'P 4/m m m'
_space_group_IT_number 123
_space_group_name_Hall '-P 4 2'
loop_
_atom_site_label
_atom_site_type_symbol
_atom_site_fract_x
_atom_site_fract_y
_atom_site_fract_z
La1 La 0.000 0.000 0.000
Pm1 Pm 0.000 0.000 0.500
Nd1 Nd 0.500 0.500 0.253



(3)
# LiAg2Bi, relaxed, DFT PBE
# Polymorph energy (0 for the lowest one) = 208 meV/atom
# Crystal system = orthorhombic
# Energy of formation from the pure elements = 0.0323 eV/atom
# Energy = -11.4 eV/f.u.
data_LiAg2Bi
_chemical_formula_sum 'Li2 Ag4 Bi2'
_cell_length_a 3.219
_cell_length_b 4.751
_cell_length_c 11.511
_cell_angle_alpha 90.00
_cell_angle_beta 90.00
_cell_angle_gamma 90.00
_space_group_name_H-M_alt 'I m m m'
_space_group_IT_number 71
_space_group_name_Hall '-I 2 2'
loop_
_atom_site_label
_atom_site_type_symbol
_atom_site_fract_x
_atom_site_fract_y
_atom_site_fract_z
Li1 Li 0.000 0.000 0.000
Ag1 Ag 0.000 0.000 0.242
Bi1 Bi 0.000 0.000 0.500



(4)
# K2HOsO6, relaxed, DFT PBE
# Crystal system = monoclinic
# Energy = -56.1 eV/f.u.
data_K2HOsO6
_chemical_formula_sum 'K4 H2 Os2 O12'
_cell_length_a 6.247
_cell_length_b 9.389
_cell_length_c 5.631
_cell_angle_alpha 90.00
_cell_angle_beta 123.60
_cell_angle_gamma 90.00
_space_group_name_H-M_alt 'C 1 2/m 1'
_space_group_IT_number 12
loop_
_space_group_symop_operation_xyz
'x,y,z'
'-x,-y,-z'
'-x,y,-z'
'x,-y,z'
'x+1/2,y+1/2,z'
'-x+1/2,-y+1/2,-z'
'-x+1/2,y+1/2,-z'
'x+1/2,-y+1/2,z'
loop_
_atom_site_label
_atom_site_type_symbol
_atom_site_fract_x
_atom_site_fract_y
_atom_site_fract_z
K1 K 0.000 0.249 0.000
H1 H 0.000 0.000 0.500
Os1 Os 0.000 0.500 0.500
O1 O 0.000 0.304 0.500
O2 O 0.193 0.000 0.498
O3 O 0.195 0.500 0.893



(5)
# La8NiHg2, relaxed, DFT PBE
# Crystal system = monoclinic
# Energy of formation from the pure elements = -0.2214 eV/atom
# Energy = -48.2 eV/f.u.
data_La8NiHg2
_chemical_formula_sum 'La16 Ni2 Hg4'
_cell_length_a 19.338
_cell_length_b 5.409
_cell_length_c 7.002
_cell_angle_alpha 90.00
_cell_angle_beta 111.06
_cell_angle_gamma 90.00
_space_group_name_H-M_alt 'C 1 2/m 1'
_space_group_IT_number 12
loop_
_space_group_symop_operation_xyz
'x,y,z'
'-x,-y,-z'
'-x,y,-z'
'x,-y,z'
'x+1/2,y+1/2,z'
'-x+1/2,-y+1/2,-z'
'-x+1/2,y+1/2,-z'
'x+1/2,-y+1/2,z'
loop_
_atom_site_label
_atom_site_type_symbol
_atom_site_fract_x
_atom_site_fract_y
_atom_site_fract_z
La1 La 0.014 0.000 0.298
La2 La 0.086 0.500 0.937
La3 La 0.157 0.500 0.488
La4 La 0.206 0.000 0.807
Ni1 Ni 0.000 0.500 0.500
Hg1 Hg 0.170 0.000 0.221



(6)
# Si2SnRuBr, relaxed, DFT PBE
# ΔE_f (raw) = 834 kJ/mol of formula units
# Crystal system = tetragonal
# Energy = -17.2 eV/f.u.
data_Si2SnRuBr
_chemical_formula_sum 'Si2 Sn1 Ru1 Br1'
_cell_length_a 4.806
_cell_length_b 4.806
_cell_length_c 5.336
_cell_angle_alpha 90.00
_cell_angle_beta 90.00
_cell_angle_gamma 90.00
_space_group_name_H-M_alt 'P 4/m m m'
_space_group_IT_number 123
_space_group_name_Hall '-P 4 2'
loop_
_atom_site_label
_atom_site_type_symbol
_atom_site_fract_x
_atom_site_fract_y
_atom_site_fract_z
Si1 Si 0.000 0.500 0.000
Sn1 Sn 0.000 0.000 0.500
Ru1 Ru 0.500 0.500 0.500
Br1 Br 0.000 0.000 0.000



(7)
# La2OsI, relaxed, DFT PBE
# ΔE_f (raw) = -55 kJ/mol of formula units
# Polymorph energy (0 for the lowest one) = 525 meV/atom
# Crystal system = cubic
# Energy = -23.2 eV/f.u.
data_La2OsI
_chemical_formula_sum 'La8 Os4 I4'
_cell_length_a 7.553
_cell_length_b 7.553
_cell_length_c 7.553
_cell_angle_alpha 90.00
_cell_angle_beta 90.00
_cell_angle_gamma 90.00
_space_group_name_H-M_alt 'F m -3 m'
_space_group_IT_number 225
_space_group_name_Hall '-F 4 2 3'
loop_
_atom_site_label
_atom_site_type_symbol
_atom_site_fract_x
_atom_site_fract_y
_atom_site_fract_z
La1 La 0.250 0.250 0.250
Os1 Os 0.000 0.000 0.000
I1 I 0.000 0.000 0.500



(8)
# CaNd2Ge4Pt3, relaxed, DFT PBE
# Crystal system = tetragonal
# Energy of formation from the pure elements = -0.8335 eV/atom
# Energy = -56.5 eV/f.u.
data_CaNd2Ge4Pt3
_chemical_formula_sum 'Ca1 Nd2 Ge4 Pt3'
_cell_length_a 4.321
_cell_length_b 4.321
_cell_length_c 11.238
_cell_angle_alpha 90.00
_cell_angle_beta 90.00
_cell_angle_gamma 90.00
_space_group_name_H-M_alt 'P -4 m 2'
_space_group_IT_number 115
loop_
_space_group_symop_operation_xyz
'x,y,z'
'y,-x,-z'
'-x,-y,z'
'-y,x,-z'
'-x,y,z'
'-y,-x,-z'
'x,-y,z'
'y,x,-z'
loop_
_atom_site_label
_atom_site_type_symbol
_atom_site_fract_x
_atom_site_fract_y
_atom_site_fract_z
Ca1 Ca 0.000 0.000 0.000
Nd1 Nd 0.000 0.500 0.734
Ge1 Ge 0.000 0.000 0.500
Ge2 Ge 0.000 0.500 0.163
Ge3 Ge 0.500 0.500 0.500
Pt1 Pt 0.000 0.500 0.383
Pt2 Pt 0.500 0.500 0.000